No. 1
This record from Alexandria via LeMat-Bulk describes crystalline SrLaPmCd at its relaxed geometry. The functional is PBE-GGA.

Cell: 8.2268 8.2268 8.2268 Å, 90.00 90.00 90.00°
With the nearest neighbours (Å) after each atom.
Space group F-43m (No. 216)
Asymmetric unit:
Sr (0.0000, 0.0000, 0.0000)  4 Cd 3.56, 4 Pm 3.56
La (0.0000, 0.0000, 0.5000)  4 Cd 3.56, 4 Pm 3.56
Pm (0.2500, 0.2500, 0.7500)  4 La 3.56, 4 Sr 3.56
Cd (0.2500, 0.2500, 0.2500)  4 La 3.56, 4 Sr 3.56

Summary:
electronic total energy	-12.00	eV/f.u.
size of the total moment	0.001	μB per cell
energy of formation from the pure elements	68	meV per atom

No. 2
This record from Alexandria via LeMat-Bulk describes crystalline LaPmCdTc at its relaxed geometry. The functional is PBE-GGA.

Cell: 7.3915 7.3915 7.3915 Å, 90.00 90.00 90.00°
With the nearest neighbours (Å) after each atom.
Space group F-43m (No. 216)
Asymmetric unit:
La (0.0000, 0.0000, 0.0000)  4 Tc 3.20, 4 Cd 3.20
Pm (0.0000, 0.0000, 0.5000)  4 Cd 3.20, 4 Tc 3.20
Cd (0.2500, 0.2500, 0.7500)  4 La 3.20, 4 Pm 3.20
Tc (0.2500, 0.2500, 0.2500)  4 La 3.20, 4 Pm 3.20

Summary:
electronic total energy	-20.90	eV/f.u.
size of the total moment	0.000	μB per cell
energy of formation from the pure elements	15	meV per atom

No. 3
This record from Alexandria via LeMat-Bulk describes crystalline La2PmCdTe5 at its relaxed geometry. The functional is PBE-GGA.

Cell: 4.4619 19.3815 13.5896 Å, 90.00 90.00 90.00°
With the nearest neighbours (Å) after each atom.
Space group Cmc2_1 (No. 36)
Asymmetric unit:
La (0.0000, 0.1165, 0.0000)  8 Te 3.34-3.44
La (0.0000, 0.1303, 0.6243)  8 Te 3.29-3.55
Pm (0.0000, 0.1999, 0.3261)  6 Te 3.13-3.19
Cd (0.0000, 0.4415, 0.7726)  4 Te 2.77-2.99
Te (0.0000, 0.0441, 0.3941)  2 Cd 2.79
Te (0.0000, 0.2886, 0.9890)  2 Pm 3.15, 3 La 3.29-3.34
Te (0.0000, 0.3095, 0.6583)  1 Cd 2.99, 2 Pm 3.19
Te (0.0000, 0.3614, 0.3165)  1 Pm 3.13, 4 La 3.37-3.44
Te (0.0000, 0.4967, 0.0890)  1 Cd 2.77

Summary:
energy relative to the elements, uncorrected	-11.411	eV per formula unit
electronic total energy	-42.64	eV/f.u.
size of the total moment	0.001	μB per cell

No. 4
This record from Alexandria via LeMat-Bulk describes crystalline La5PmTlCd2 at its relaxed geometry. The functional is PBE-GGA.

Cell: 7.8798 7.8798 19.7495 Å, 90.00 90.00 90.00°
With the nearest neighbours (Å) after each atom.
Space group I4/mcm (No. 140)
Asymmetric unit:
La (0.0000, 0.0000, 0.0000)  4 Cd 3.14
La (0.2085, 0.2915, 0.1347)  1 Tl 3.25, 1 Cd 3.28, 2 Pm 3.63
Pm (0.0000, 0.0000, 0.2500)  8 La 3.63, 4 Tl 3.94
Tl (0.0000, 0.5000, 0.2500)  4 La 3.25
Cd (0.1198, 0.3802, 0.5000)  1 Cd 2.67

Summary:
electronic total energy	-34.50	eV/f.u.
size of the total moment	0.000	μB per cell
energy of formation from the pure elements	-102	meV per atom

No. 5
This record from Alexandria via LeMat-Bulk describes crystalline La2Pm2TmCd5 at its relaxed geometry. The functional is PBE-GGA.

Cell: 10.7860 10.7860 4.8414 Å, 90.00 90.00 90.00°
With the nearest neighbours (Å) after each atom.
Space group P4/mbm (No. 127)
Asymmetric unit:
La (0.1750, 0.3250, 0.0000)  3 Pm 3.04-3.29
Pm (0.1260, 0.6260, 0.0000)  3 La 3.04-3.29, 6 Cd 3.09-3.20
Tm (0.0000, 0.0000, 0.0000)  8 Cd 3.25
Cd (0.0000, 0.5000, 0.5000)  4 Pm 3.09, 4 Cd 3.42
Cd (0.0650, 0.8103, 0.5000)  3 Cd 3.06-3.42, 2 Pm 3.20, 2 Tm 3.25

Summary:
electronic total energy	-30.37	eV/f.u.
size of the total moment	0.005	μB per cell
energy of formation from the pure elements	-197	meV per atom

No. 6
This record from Alexandria via LeMat-Bulk describes crystalline LaPmYCd at its relaxed geometry. The functional is PBE-GGA.

Cell: 7.9135 7.9135 7.9135 Å, 90.00 90.00 90.00°
With the nearest neighbours (Å) after each atom.
Space group F-43m (No. 216)
Asymmetric unit:
La (0.0000, 0.0000, 0.0000)  4 Pm 3.43, 4 Cd 3.43
Pm (0.2500, 0.2500, 0.7500)  4 Y 3.43, 4 La 3.43
Y (0.0000, 0.0000, 0.5000)  4 Cd 3.43, 4 Pm 3.43
Cd (0.2500, 0.2500, 0.2500)  4 La 3.43, 4 Y 3.43

Summary:
polymorph energy (0 for the lowest one)	135.4	meV/atom
electronic total energy	-17.14	eV/f.u.
size of the total moment	1.468	μB per cell
energy of formation from the pure elements	-20	meV per atom